A plane-wave DFT calculation with PBE-GGA was carried out for an optimized crystal structure of Ac2Sm3Y2.

Properties
- final energy (eV for the cell shown) = -35.01
- formation enthalpy at 0 K (meV/atom) = 41
- total magnetic moment (Bohr magnetons per cell) = 0.00
- calculated volume (Å³/atom) = 36.64

abc: 3.7151 9.1880 10.3301
angles: 119.81 57.33 101.61
Fractional positions:
Ac 0.9179 0.1654 0.4440
Ac 0.0821 0.8346 0.5560
Sm 0.0000 0.0000 0.0000
Sm 0.2117 0.5755 0.7175
Sm 0.7883 0.4245 0.2825
Y 0.8108 0.3013 0.8934
Y 0.1892 0.6987 0.1066